The following is a DFT calculation (PBE) of a relaxed YTlIr crystal.

Properties
V: 311.4 Å³/cell
Energy: -5.676 eV per atom

The structure in POSCAR format:
```
YTlIr
1.0
6.778 0.000 0.000
0.000 6.778 0.000
0.000 0.000 6.778
Y Tl Ir
4 4 4
Direct
0.000 0.000 0.000 Y
0.000 0.500 0.500 Y
0.500 0.000 0.500 Y
0.500 0.500 0.000 Y
0.250 0.250 0.250 Tl
0.250 0.750 0.750 Tl
0.750 0.250 0.750 Tl
0.750 0.750 0.250 Tl
0.250 0.250 0.750 Ir
0.250 0.750 0.250 Ir
0.750 0.250 0.250 Ir
0.750 0.750 0.750 Ir
```